Record 1
Zr2NbBr | the Alexandria database | PBE | relaxed; E = -6.601 eV per atom; energy relative to the lowest polymorph listed for this composition = 274 meV per atom; uncorrected formation energy = 609 meV per atom
1.0
4.200 0.000 0.000
0.000 4.200 0.000
2.100 2.100 10.001
Zr Br Nb
4 2 2
Direct
0.626 0.125 0.250 Zr
0.875 0.876 0.750 Zr
0.124 0.625 0.250 Zr
0.375 0.374 0.750 Zr
0.500 0.500 0.000 Br
0.250 0.750 0.500 Br
0.750 0.250 0.500 Nb
0.000 0.000 0.000 Nb

***

Record 2
Mg3Cd4Rh2 | the Alexandria database | PBE | relaxed; E = -2.818 eV per atom
1.0
-3.071 -2.132 -1.785
1.591 -2.775 -4.231
0.982 -7.905 2.943
Mg Cd Rh
3 4 2
Direct
0.000 0.000 0.000 Mg
0.315 0.799 0.571 Mg
0.685 0.201 0.429 Mg
0.001 0.665 0.334 Cd
0.999 0.335 0.666 Cd
0.666 0.558 0.110 Cd
0.334 0.442 0.890 Cd
0.340 0.095 0.225 Rh
0.660 0.905 0.775 Rh

***

Record 3
Sc2AlGa2Co5 | the Alexandria database | PBE | relaxed; E = -6.103 eV per atom
1.0
3.262 0.000 0.000
0.000 9.209 0.000
0.000 0.000 9.209
Co Ga Al Sc
10 4 2 4
Direct
0.500 0.801 0.938 Co
0.500 0.301 0.562 Co
0.500 0.438 0.301 Co
0.500 0.699 0.438 Co
0.500 0.938 0.199 Co
0.500 0.562 0.699 Co
0.500 0.062 0.801 Co
0.500 0.500 0.000 Co
0.500 0.000 0.500 Co
0.500 0.199 0.062 Co
0.000 0.127 0.627 Ga
0.000 0.373 0.127 Ga
0.000 0.873 0.373 Ga
0.000 0.627 0.873 Ga
0.000 0.500 0.500 Al
0.000 0.000 0.000 Al
0.000 0.829 0.671 Sc
0.000 0.171 0.329 Sc
0.000 0.671 0.171 Sc
0.000 0.329 0.829 Sc

***

Record 4
FeNiN2 | the Alexandria database | PBE | relaxed; E = -7.639 eV per atom; energy relative to the lowest polymorph listed for this composition = 0 meV per atom; uncorrected formation energy = 85 meV per atom
1.0
4.307 0.000 0.000
0.000 4.307 0.000
2.154 2.154 4.225
N Ni Fe
4 2 2
Direct
0.604 0.125 0.250 N
0.146 0.625 0.250 N
0.875 0.854 0.750 N
0.375 0.396 0.750 N
0.000 0.000 0.000 Ni
0.750 0.250 0.500 Ni
0.250 0.750 0.500 Fe
0.500 0.500 0.000 Fe

***

Record 5
Li3MgHg | the Alexandria database | PBE | relaxed; E = -1.725 eV per atom; energy relative to the lowest polymorph listed for this composition = 0 meV per atom
1.0
-4.427 -2.001 0.512
1.147 -3.595 -4.131
4.829 -3.547 4.428
Li Mg Hg
6 2 2
Direct
0.980 0.750 0.457 Li
0.020 0.250 0.543 Li
0.802 0.999 0.105 Li
0.802 0.501 0.105 Li
0.198 0.499 0.895 Li
0.198 0.001 0.895 Li
0.590 0.750 0.677 Mg
0.410 0.250 0.323 Mg
0.375 0.750 0.246 Hg
0.625 0.250 0.754 Hg

***

Record 6
Th2Si3Ir4Pd | the Alexandria database | PBE | relaxed; E = -8.116 eV per atom; uncorrected formation energy = -942 meV per atom
1.0
-3.941 0.127 1.197
-0.150 -4.118 -0.056
3.068 -0.250 10.127
Th Pd Ir Si
2 1 4 3
Direct
0.500 0.000 0.254 Th
0.000 0.500 0.746 Th
0.500 0.500 0.500 Pd
0.000 0.000 0.000 Ir
0.500 0.500 0.000 Ir
0.000 0.500 0.345 Ir
0.500 0.000 0.655 Ir
0.500 0.000 0.878 Si
0.000 0.000 0.500 Si
0.000 0.500 0.122 Si

***

Record 7
Mn2ReSi | the Alexandria database | PBE | relaxed; E = -8.994 eV per atom; uncorrected formation energy = 59 meV per atom
1.0
8.186 -0.005 -0.003
7.749 2.637 -0.003
7.749 1.280 2.306
Re Mn Si
1 2 1
Direct
0.501 0.501 0.501 Re
0.000 0.000 0.000 Mn
0.255 0.255 0.255 Mn
0.745 0.745 0.745 Si

***

Record 8
LiAu2 | the Alexandria database | PBE | relaxed; E = -3.190 eV per atom
1.0
6.517 0.013 0.000
5.288 3.810 0.000
-5.902 -1.911 1.995
Au Li
2 1
Direct
0.345 0.345 0.000 Au
0.655 0.655 0.000 Au
0.000 0.000 0.000 Li

***

Record 9
IrCl3 | the Alexandria database | PBE | relaxed; E = -2.539 eV per atom; uncorrected formation energy = 1061 meV per atom
1.0
0.000 3.291 3.291
3.291 0.000 3.291
3.291 3.291 0.000
Cl Ir
3 1
Direct
0.750 0.750 0.750 Cl
0.000 0.000 0.000 Cl
0.250 0.250 0.250 Cl
0.500 0.500 0.500 Ir

***

Record 10
Ba2InPdAu6 | the Alexandria database | PBE | relaxed; E = -3.613 eV per atom
1.0
7.202 -0.297 1.338
-0.269 7.351 -1.459
4.422 2.510 5.288
In Au Ba Pd
1 6 2 1
Direct
0.500 0.500 0.000 In
0.237 0.739 0.006 Au
0.754 0.610 0.144 Au
0.246 0.390 0.856 Au
0.744 0.739 0.498 Au
0.763 0.261 0.994 Au
0.256 0.261 0.502 Au
0.270 0.816 0.454 Ba
0.730 0.184 0.546 Ba
0.000 0.000 0.000 Pd

***

Record 11
Ti2Cu3Pd | the Alexandria database | PBE | relaxed; E = -5.761 eV per atom; energy relative to the lowest polymorph listed for this composition = 0 meV per atom
1.0
4.082 1.248 -2.677
-1.230 4.853 -0.571
0.127 -0.428 7.913
Cu Ti Pd
6 4 2
Direct
0.177 0.927 0.250 Cu
0.823 0.073 0.750 Cu
0.325 0.850 0.000 Cu
0.650 0.675 0.500 Cu
0.675 0.150 0.000 Cu
0.350 0.325 0.500 Cu
0.254 0.380 0.124 Ti
0.746 0.620 0.876 Ti
0.755 0.130 0.376 Ti
0.245 0.870 0.624 Ti
0.835 0.585 0.250 Pd
0.165 0.415 0.750 Pd

***

Record 12
PaBC3 | the Alexandria database | PBE | relaxed; E = -8.385 eV per atom
1.0
-2.262 1.624 -2.475
-1.221 -3.349 -1.083
-4.050 1.192 7.288
C Pa B
6 2 2
Direct
0.066 0.741 0.131 C
0.258 0.258 0.516 C
0.259 0.934 0.869 C
0.066 0.390 0.131 C
0.742 0.742 0.484 C
0.610 0.934 0.869 C
0.648 0.148 0.295 Pa
0.852 0.352 0.705 Pa
0.250 0.750 0.500 B
0.000 0.000 0.000 B

***

Record 13
Ba2AlBiS5 | the Alexandria database | PBE | relaxed; E = -4.956 eV per atom; uncorrected formation energy = -1389 meV per atom
1.0
4.103 0.000 0.000
-2.051 9.107 0.000
0.000 0.000 13.282
S Ba Bi Al
10 4 2 2
Direct
0.709 0.418 0.177 S
0.505 0.010 0.274 S
0.675 0.351 0.881 S
0.325 0.649 0.381 S
0.030 0.059 0.008 S
0.291 0.582 0.677 S
0.654 0.307 0.511 S
0.495 0.990 0.774 S
0.970 0.941 0.508 S
0.346 0.693 0.011 S
0.114 0.228 0.685 Ba
0.130 0.259 0.332 Ba
0.886 0.772 0.185 Ba
0.870 0.741 0.832 Ba
0.203 0.406 0.035 Bi
0.797 0.594 0.535 Bi
0.447 0.894 0.422 Al
0.553 0.106 0.922 Al

***

Record 14
MnTc2N2 | the Alexandria database | PBE | relaxed; E = -8.761 eV per atom; energy relative to the lowest polymorph listed for this composition = 299 meV per atom; uncorrected formation energy = 550 meV per atom
1.0
6.057 0.000 0.000
0.000 6.057 0.000
0.000 0.000 2.749
N Tc Mn
4 4 2
Direct
0.663 0.163 0.000 N
0.163 0.337 0.000 N
0.337 0.837 0.000 N
0.837 0.663 0.000 N
0.160 0.660 0.500 Tc
0.660 0.840 0.500 Tc
0.340 0.160 0.500 Tc
0.840 0.340 0.500 Tc
0.500 0.500 0.000 Mn
0.000 0.000 0.000 Mn

***

Record 15
TaTi5Ge6 | the Alexandria database | PBE | relaxed; E = -6.983 eV per atom
1.0
-5.302 0.564 3.536
-3.096 -5.523 0.069
1.283 -4.292 4.523
Ge Ti Ta
6 5 1
Direct
0.252 0.916 0.663 Ge
0.748 0.421 0.663 Ge
0.749 0.747 0.000 Ge
0.748 0.084 0.337 Ge
0.251 0.253 0.000 Ge
0.252 0.579 0.337 Ge
0.500 0.165 0.669 Ti
0.000 0.333 0.334 Ti
0.500 0.500 0.000 Ti
0.000 0.667 0.666 Ti
0.500 0.835 0.331 Ti
0.000 0.000 0.000 Ta

***

Record 16
K5Ac3S12 | the Alexandria database | PBE | relaxed; E = -4.430 eV per atom; uncorrected formation energy = -1063 meV per atom
1.0
-11.462 -2.630 -10.184
-5.078 -2.966 14.403
4.480 14.867 -0.960
K S Ac
20 48 12
Direct
0.500 0.000 0.500 K
0.750 0.125 0.875 K
0.000 0.500 0.500 K
0.125 0.750 0.375 K
0.625 0.750 0.875 K
0.875 0.625 0.750 K
0.500 0.500 0.500 K
0.500 0.000 0.000 K
0.500 0.500 0.000 K
0.000 0.000 0.000 K
0.250 0.375 0.625 K
0.000 0.000 0.500 K
0.625 0.875 0.250 K
0.000 0.500 0.000 K
0.125 0.375 0.250 K
0.875 0.250 0.625 K
0.750 0.625 0.375 K
0.375 0.250 0.125 K
0.250 0.875 0.125 K
0.375 0.125 0.750 K
0.676 0.089 0.270 S
0.770 0.176 0.089 S
0.905 0.087 0.676 S
0.181 0.087 0.911 S
0.405 0.176 0.587 S
0.176 0.770 0.589 S
0.595 0.824 0.413 S
0.587 0.911 0.681 S
0.087 0.181 0.411 S
0.181 0.095 0.770 S
0.730 0.319 0.905 S
0.681 0.411 0.587 S
0.095 0.913 0.324 S
0.905 0.819 0.730 S
0.324 0.413 0.095 S
0.319 0.589 0.413 S
0.913 0.819 0.589 S
0.589 0.270 0.176 S
0.911 0.324 0.230 S
0.913 0.095 0.824 S
0.681 0.270 0.595 S
0.270 0.589 0.676 S
0.819 0.913 0.089 S
0.676 0.587 0.905 S
0.230 0.824 0.911 S
0.413 0.324 0.595 S
0.589 0.319 0.913 S
0.413 0.089 0.319 S
0.411 0.730 0.824 S
0.089 0.413 0.819 S
0.089 0.676 0.770 S
0.595 0.770 0.681 S
0.911 0.587 0.181 S
0.824 0.595 0.913 S
0.819 0.905 0.230 S
0.095 0.181 0.270 S
0.587 0.676 0.405 S
0.270 0.681 0.095 S
0.770 0.595 0.181 S
0.176 0.405 0.087 S
0.319 0.730 0.405 S
0.087 0.905 0.176 S
0.405 0.230 0.319 S
0.411 0.681 0.087 S
0.824 0.230 0.411 S
0.324 0.911 0.730 S
0.730 0.411 0.324 S
0.230 0.405 0.819 S
0.875 0.125 0.250 Ac
0.250 0.125 0.375 Ac
0.375 0.750 0.625 Ac
0.375 0.625 0.250 Ac
0.875 0.750 0.125 Ac
0.625 0.375 0.750 Ac
0.625 0.250 0.375 Ac
0.750 0.875 0.625 Ac
0.750 0.375 0.125 Ac
0.125 0.250 0.875 Ac
0.125 0.875 0.750 Ac
0.250 0.625 0.875 Ac

***

Record 17
GeHBr3 | the Alexandria database | PBE | relaxed; E = -2.190 eV per atom; energy relative to the lowest polymorph listed for this composition = 833 meV per atom
1.0
4.732 0.000 0.000
0.000 4.732 0.000
0.000 0.000 4.732
Br H Ge
3 1 1
Direct
0.500 0.000 0.000 Br
0.000 0.500 0.000 Br
0.000 0.000 0.500 Br
0.000 0.000 0.000 H
0.500 0.500 0.500 Ge

***

Record 18
Cr2Cd2Pt | the Alexandria database | PBE | relaxed; E = -5.069 eV per atom; energy relative to the lowest polymorph listed for this composition = 0 meV per atom
1.0
-4.222 -4.586 -1.106
4.226 -4.336 1.848
-1.437 0.338 4.081
Cr Cd Pt
4 4 2
Direct
0.398 0.898 0.000 Cr
0.602 0.102 0.000 Cr
0.102 0.398 0.000 Cr
0.898 0.602 0.000 Cr
0.691 0.809 0.500 Cd
0.309 0.191 0.500 Cd
0.809 0.309 0.500 Cd
0.191 0.691 0.500 Cd
0.000 0.000 0.000 Pt
0.500 0.500 0.000 Pt

***

Record 19
Ta3IrOs2 | the Alexandria database | PBE | relaxed; E = -11.482 eV per atom
1.0
-2.758 0.689 -3.132
-5.461 -3.727 1.133
-2.934 5.448 3.782
Ta Os Ir
6 4 2
Direct
0.500 0.000 0.747 Ta
0.167 0.667 0.257 Ta
0.833 0.333 0.743 Ta
0.167 0.667 0.743 Ta
0.500 0.000 0.253 Ta
0.833 0.333 0.257 Ta
0.666 0.668 0.500 Os
0.000 0.000 0.500 Os
0.334 0.332 0.500 Os
0.000 0.000 0.000 Os
0.670 0.661 0.000 Ir
0.330 0.339 0.000 Ir

***

| no. | magnetization (μB/f.u.) |
| --- | --- |
| 1 | 0.00 |
| 2 | 0.00 |
| 3 | 0.70 |
| 4 | 0.00 |
| 5 | 0.00 |
| 6 | 0.00 |
| 7 | 1.08 |
| 8 | 0.00 |
| 9 | 1.80 |
| 10 | 0.00 |
| 11 | 0.00 |
| 12 | 0.00 |
| 13 | 0.00 |
| 14 | 0.00 |
| 15 | 0.00 |
| 16 | 0.00 |
| 17 | 0.00 |
| 18 | 0.00 |
| 19 | 0.00 |